The following is a DFT calculation (PBE) of a relaxed Cs2MgCrBr6 crystal.

Cell lengths 13.553, 13.553, 13.553 Å; angles 33.17, 33.17, 33.17 degrees
Positions (direct):
Cs1 0.123 0.123 0.123
Cs2 0.292 0.292 0.292
Cs3 0.708 0.708 0.708
Cs4 0.877 0.877 0.877
Mg1 0.000 0.000 0.000
Mg2 0.500 0.500 0.500
Cr1 0.414 0.414 0.414
Cr2 0.586 0.586 0.586
Br1 0.142 0.614 0.614
Br2 0.208 0.208 0.706
Br3 0.208 0.706 0.208
Br4 0.294 0.792 0.792
Br5 0.386 0.386 0.858
Br6 0.386 0.858 0.386
Br7 0.614 0.142 0.614
Br8 0.614 0.614 0.142
Br9 0.706 0.208 0.208
Br10 0.792 0.294 0.792
Br11 0.792 0.792 0.294
Br12 0.858 0.386 0.386

Total moment = 4.0 μB per formula unit
Symmetry = R-3m, No. 166

***

The following is a DFT calculation (PBE) of a relaxed Cs2MnCrBr6 crystal.

Cell lengths 7.640, 7.640, 7.640 Å; angles 60.00, 60.00, 60.00 degrees
Positions (direct):
Cs1 0.250 0.250 0.250
Cs2 0.750 0.750 0.750
Mn1 0.000 0.000 0.000
Cr1 0.500 0.500 0.500
Br1 0.250 0.250 0.750
Br2 0.250 0.750 0.250
Br3 0.250 0.750 0.750
Br4 0.750 0.250 0.250
Br5 0.750 0.250 0.750
Br6 0.750 0.750 0.250

Total moment = 9.0 μB per formula unit
Symmetry = Fm-3m, No. 225

***

The following is a DFT calculation (PBE) of a relaxed CsMnCr2Br8 crystal.

Cell lengths 10.574, 10.574, 10.574 Å; angles 38.32, 38.32, 38.32 degrees
Positions (direct):
Cs1 0.000 0.000 0.000
Mn1 0.500 0.500 0.500
Cr1 0.234 0.234 0.234
Cr2 0.766 0.766 0.766
Br1 0.140 0.765 0.436
Br2 0.235 0.564 0.860
Br3 0.315 0.315 0.315
Br4 0.436 0.140 0.765
Br5 0.564 0.860 0.235
Br6 0.685 0.685 0.685
Br7 0.765 0.436 0.140
Br8 0.860 0.235 0.564

Total moment = 12.0 μB per formula unit
Symmetry = R-3, No. 148

***

The following is a DFT calculation (PBE) of a relaxed CsMn2CrBr8 crystal.

Cell lengths 11.802, 11.802, 11.802 Å; angles 32.65, 32.65, 32.65 degrees
Positions (direct):
Cs1 0.000 0.000 0.000
Mn1 0.237 0.237 0.237
Mn2 0.763 0.763 0.763
Cr1 0.500 0.500 0.500
Br1 0.158 0.429 0.761
Br2 0.239 0.571 0.842
Br3 0.309 0.309 0.309
Br4 0.429 0.761 0.158
Br5 0.571 0.842 0.239
Br6 0.691 0.691 0.691
Br7 0.761 0.158 0.429
Br8 0.842 0.239 0.571

Total moment = 13.0 μB per formula unit
Symmetry = R32, No. 155

***

The following is a DFT calculation (PBE) of a relaxed Cs2CrBr6N crystal.

Cell lengths 7.952, 7.952, 7.952 Å; angles 126.32, 126.32, 79.36 degrees
Positions (direct):
Cs1 0.250 0.750 0.500
Cs2 0.750 0.250 0.500
Cr1 0.000 0.000 0.000
Br1 0.204 0.204 0.000
Br2 0.262 0.262 0.525
Br3 0.262 0.738 0.000
Br4 0.738 0.262 0.000
Br5 0.738 0.738 0.475
Br6 0.796 0.796 0.000
N1 0.500 0.500 0.000

Total moment = 3.0 μB per formula unit
Symmetry = I4/mmm, No. 139

***

The following is a DFT calculation (PBE) of a relaxed Cs3NaCr2Br9 crystal.

Cell lengths 7.707, 7.707, 9.534 Å; angles 90.00, 90.00, 120.00 degrees
Positions (direct):
Cs1 0.000 0.000 0.000
Cs2 0.333 0.667 0.664
Cs3 0.667 0.333 0.336
Na1 0.000 0.000 0.500
Cr1 0.333 0.667 0.163
Cr2 0.667 0.333 0.837
Br1 0.000 0.500 0.000
Br2 0.176 0.353 0.313
Br3 0.176 0.824 0.313
Br4 0.353 0.176 0.687
Br5 0.500 0.000 0.000
Br6 0.500 0.500 0.000
Br7 0.647 0.824 0.313
Br8 0.824 0.176 0.687
Br9 0.824 0.647 0.687

Total moment = 7.0 μB per formula unit
Symmetry = P-3m1, No. 164

***

The following is a DFT calculation (PBE) of a relaxed Cs2NaCrBr6 crystal.

Cell lengths 7.771, 7.771, 7.092 Å; angles 90.00, 90.00, 120.00 degrees
Positions (direct):
Cs1 0.333 0.667 0.298
Cs2 0.667 0.333 0.702
Na1 0.000 0.000 0.000
Cr1 0.000 0.000 0.500
Br1 0.155 0.309 0.708
Br2 0.155 0.845 0.708
Br3 0.309 0.155 0.292
Br4 0.691 0.845 0.708
Br5 0.845 0.155 0.292
Br6 0.845 0.691 0.292

Total moment = 3.0 μB per formula unit
Symmetry = P-3m1, No. 164

***

The following is a DFT calculation (PBE) of a relaxed Cs3Na3CrBr8 crystal.

Cell lengths 8.911, 8.911, 9.709 Å; angles 117.35, 117.35, 59.95 degrees
Positions (direct):
Cs1 0.000 0.000 0.000
Cs2 0.000 0.500 0.000
Cs3 0.500 0.000 0.000
Na1 0.000 0.500 0.500
Na2 0.500 0.000 0.500
Na3 0.500 0.500 0.500
Cr1 0.000 0.000 0.500
Br1 0.209 0.209 0.681
Br2 0.209 0.763 0.681
Br3 0.237 0.791 0.319
Br4 0.268 0.268 0.304
Br5 0.732 0.732 0.696
Br6 0.763 0.209 0.681
Br7 0.791 0.237 0.319
Br8 0.791 0.791 0.319

Total moment = 4.0 μB per formula unit
Symmetry = C2/m, No. 12

***

The following is a DFT calculation (PBE) of a relaxed Cs2NbCrBr6 crystal.

Cell lengths 7.727, 7.727, 7.727 Å; angles 60.00, 60.00, 60.00 degrees
Positions (direct):
Cs1 0.250 0.250 0.250
Cs2 0.750 0.750 0.750
Nb1 0.000 0.000 0.000
Cr1 0.500 0.500 0.500
Br1 0.247 0.247 0.753
Br2 0.247 0.753 0.247
Br3 0.247 0.753 0.753
Br4 0.753 0.247 0.247
Br5 0.753 0.247 0.753
Br6 0.753 0.753 0.247

Total moment = 2.3 μB per formula unit
Symmetry = Fm-3m, No. 225

***

The following is a DFT calculation (PBE) of a relaxed CsCrNi2Br8 crystal.

Cell lengths 10.875, 10.875, 10.875 Å; angles 35.38, 35.38, 35.38 degrees
Positions (direct):
Cs1 0.000 0.000 0.000
Cr1 0.500 0.500 0.500
Ni1 0.235 0.235 0.235
Ni2 0.765 0.765 0.765
Br1 0.144 0.766 0.444
Br2 0.234 0.556 0.856
Br3 0.311 0.311 0.311
Br4 0.444 0.144 0.766
Br5 0.556 0.856 0.234
Br6 0.689 0.689 0.689
Br7 0.766 0.444 0.144
Br8 0.856 0.234 0.556

Total moment = 1.0 μB per formula unit
Symmetry = R-3, No. 148

***

Number 1: total DFT energy (no corrections) -73.07 eV per cell, E_form (uncorrected) -1.357 eV/atom. Number 2: total DFT energy (no corrections) -41.95 eV per cell, E_form (uncorrected) -1.141 eV/atom. Number 3: total DFT energy (no corrections) -52.08 eV per cell, E_form (uncorrected) -0.786 eV/atom. Number 4: total DFT energy (no corrections) -52.17 eV per cell, E_form (uncorrected) -0.831 eV/atom. Number 5: total DFT energy (no corrections) -34.70 eV per cell, E_form (uncorrected) -0.500 eV/atom. Number 6: total DFT energy (no corrections) -57.05 eV per cell, E_form (uncorrected) -1.258 eV/atom. Number 7: total DFT energy (no corrections) -36.41 eV per cell, E_form (uncorrected) -1.372 eV/atom. Number 8: total DFT energy (no corrections) -50.75 eV per cell, E_form (uncorrected) -1.415 eV/atom. Number 9: total DFT energy (no corrections) -41.72 eV per cell, E_form (uncorrected) -1.028 eV/atom. Number 10: total DFT energy (no corrections) -43.02 eV per cell, E_form (uncorrected) -0.633 eV/atom.